--- P ---
VASP calculation (PBE) on La3CCl3 after structural relaxation.

Geometry as CIF:
```
data_La3CCl3
_space_group_name_H-M_alt 'C 1 2/m 1'
_space_group_IT_number 12
_cell_length_a 8.750
_cell_length_b 12.604
_cell_length_c 7.075
_cell_angle_alpha 90.00
_cell_angle_beta 93.26
_cell_angle_gamma 90.00
loop_
_space_group_symop_operation_xyz
'x,y,z'
'-x,-y,-z'
'-x,y,-z'
'x,-y,z'
'x+1/2,y+1/2,z'
'-x+1/2,-y+1/2,-z'
'-x+1/2,y+1/2,-z'
'x+1/2,-y+1/2,z'
loop_
_atom_site_label
_atom_site_type_symbol
_atom_site_fract_x
_atom_site_fract_y
_atom_site_fract_z
_atom_site_occupancy
La1 La 0.119 0.000 0.298 1
La2 La 0.227 0.347 0.261 1
C1 C 0.150 0.000 0.638 1
Cl1 Cl 0.000 0.178 0.000 1
Cl2 Cl 0.000 0.249 0.500 1
Cl3 Cl 0.032 0.500 0.768 1
```

Properties
total moment = 1.4 μB per formula unit


--- Q ---
VASP calculation (PBE) on La3CCl3 after structural relaxation.

Geometry as CIF:
```
data_La3CCl3
_space_group_name_H-M_alt 'I 41 3 2'
_space_group_IT_number 214
_space_group_name_Hall 'I 4bd 2c 3'
_cell_length_a 11.405
_cell_length_b 11.405
_cell_length_c 11.405
_cell_angle_alpha 90.00
_cell_angle_beta 90.00
_cell_angle_gamma 90.00
loop_
_atom_site_label
_atom_site_type_symbol
_atom_site_fract_x
_atom_site_fract_y
_atom_site_fract_z
_atom_site_occupancy
La1 La 0.109 0.359 0.125 1
C1 C 0.125 0.125 0.125 1
Cl1 Cl 0.119 0.131 0.625 1
```

Properties
total moment = 0.0 μB per formula unit


What should be chosen as the most stable of them? Choose Q.